A plane-wave DFT calculation with GGA+U was carried out for NbCuMoO6 after structural relaxation.

Unit cell a=4.702 b=4.702 c=9.439 alpha=90.00 beta=90.00 gamma=90.00
Fractional coordinates of all 18 atoms:
O  0.789  0.211  0.177
O  0.704  0.704  0.321
O  0.711  0.711  0.677
O  0.796  0.204  0.821
O  0.211  0.789  0.177
O  0.198  0.802  0.499
O  0.204  0.796  0.821
O  0.802  0.198  0.499
O  0.296  0.296  0.321
O  0.302  0.302  0.999
O  0.698  0.698  0.999
O  0.289  0.289  0.677
Cu  0.500  0.500  0.501
Cu  0.000  0.000  0.001
Nb  0.500  0.500  0.840
Nb  0.000  0.000  0.340
Mo  0.000  0.000  0.666
Mo  0.500  0.500  0.166

Calculated values
M_tot: 0.01 μB/cell
symmetry: P4_2nm
VASP energy: -7.363 eV per atom